Entry 1:
A relaxed structure of Pm2InAu. Source: the Alexandria database, functional PBE-GGA.

Computed properties:
The calculation puts the formation energy at -633.5 meV per atom. As for the magnetic moment: 0.00 μB/f.u.

Cell and atoms, written as POSCAR:
```
Pm2InAu
1.0
3.693 0.000 0.000
0.000 3.693 0.000
0.000 0.000 7.912
Pm In Au
2 1 1
direct
0.000 0.000 0.232
0.000 0.000 0.768
0.500 0.500 0.500
0.500 0.500 0.000
```

Entry 2:
A relaxed structure of Pm3InAu3. Source: the Alexandria database, functional PBE-GGA.

Computed properties:
The calculation puts the formation energy at -530.7 meV per atom. As for the magnetic moment: 0.00 μB/f.u.

Cell and atoms, written as POSCAR:
```
Pm3InAu3
1.0
8.935 0.000 0.000
-4.467 7.738 0.000
0.000 0.000 5.420
Pm In Au
6 2 6
direct
0.086 0.656 0.250
0.344 0.431 0.250
0.431 0.086 0.750
0.569 0.914 0.250
0.656 0.569 0.750
0.914 0.344 0.750
0.333 0.667 0.750
0.667 0.333 0.250
0.039 0.766 0.750
0.234 0.273 0.750
0.273 0.039 0.250
0.727 0.961 0.750
0.766 0.727 0.250
0.961 0.234 0.250
```

Entry 3:
A relaxed structure of PmInAu3. Source: the Alexandria database, functional PBE-GGA.

Computed properties:
For the energy above the lowest structure with this stoichiometry, the calculation gives 0.044 eV per atom. The calculation puts the formation energy at -534.2 meV per atom. As for the magnetic moment: 0.00 μB/f.u.

Cell and atoms, written as POSCAR:
```
PmInAu3
1.0
5.581 0.000 0.000
0.000 7.023 0.000
-1.368 0.000 5.829
Pm In Au
2 2 6
direct
0.162 0.250 0.259
0.838 0.750 0.741
0.420 0.750 0.103
0.580 0.250 0.897
0.009 0.250 0.743
0.320 0.550 0.643
0.320 0.950 0.643
0.680 0.050 0.357
0.680 0.450 0.357
0.991 0.750 0.257
```

Entry 4:
A relaxed structure of Pm3In2Au9. Source: the Alexandria database, functional PBE-GGA.

Computed properties:
The calculation puts the formation energy at -554.5 meV per atom. As for the magnetic moment: 0.00 μB/f.u.

Cell and atoms, written as POSCAR:
```
Pm3In2Au9
1.0
7.307 -4.467 0.000
7.307 4.467 0.000
-0.840 0.000 4.843
Pm In Au
3 2 9
direct
0.000 0.000 0.000
0.276 0.276 0.263
0.724 0.724 0.737
0.321 0.679 0.500
0.679 0.321 0.500
0.005 0.308 0.697
0.153 0.554 0.812
0.308 0.005 0.697
0.446 0.847 0.188
0.500 0.500 0.000
0.554 0.153 0.812
0.692 0.995 0.303
0.847 0.446 0.188
0.995 0.692 0.303
```

Entry 5:
A relaxed structure of Pm2In3Au2. Source: the Alexandria database, functional PBE-GGA.

Computed properties:
For the energy above the lowest structure with this stoichiometry, the calculation gives 0.010 eV per atom. The calculation puts the formation energy at -568.5 meV per atom. As for the magnetic moment: 0.00 μB/f.u.

Cell and atoms, written as POSCAR:
```
Pm2In3Au2
1.0
5.556 -2.186 0.000
5.556 2.186 0.000
-0.948 0.000 7.231
Pm In Au
2 3 2
direct
0.117 0.117 0.338
0.883 0.883 0.662
0.197 0.197 0.866
0.500 0.500 0.000
0.803 0.803 0.134
0.398 0.398 0.362
0.602 0.602 0.638
```

Entry 6:
A relaxed structure of Pm2In8Au. Source: the Alexandria database, functional PBE-GGA.

Computed properties:
The calculation puts the formation energy at -371.5 meV per atom. As for the magnetic moment: 0.00 μB/f.u.

Cell and atoms, written as POSCAR:
```
Pm2In8Au
1.0
4.790 0.000 0.000
0.000 4.790 0.000
0.000 0.000 12.291
Pm In Au
2 8 1
direct
0.000 0.000 0.189
0.000 0.000 0.811
0.000 0.500 0.000
0.000 0.500 0.370
0.000 0.500 0.630
0.500 0.000 0.000
0.500 0.000 0.370
0.500 0.000 0.630
0.500 0.500 0.189
0.500 0.500 0.811
0.000 0.000 0.500
```

Entry 7:
A relaxed structure of PmInRhAu. Source: the Alexandria database, functional PBE-GGA.

Computed properties:
The calculation puts the formation energy at -597.6 meV per atom. As for the magnetic moment: 0.00 μB/f.u.

Cell and atoms, written as POSCAR:
```
PmInRhAu
1.0
2.356 1.360 4.550
-2.356 1.360 4.550
0.000 -2.721 4.550
Pm In Rh Au
1 1 1 1
direct
0.000 0.000 0.000
0.518 0.518 0.518
0.213 0.213 0.213
0.777 0.777 0.777
```

Entry 8:
A relaxed structure of PmInRuAu. Source: the Alexandria database, functional PBE-GGA.

Computed properties:
The calculation puts the formation energy at -240.3 meV per atom. As for the magnetic moment: 0.00 μB/f.u.

Cell and atoms, written as POSCAR:
```
PmInRuAu
1.0
0.000 3.459 3.459
3.459 0.000 3.459
3.459 3.459 0.000
Pm In Ru Au
1 1 1 1
direct
0.000 0.000 0.000
0.500 0.500 0.500
0.250 0.250 0.250
0.750 0.750 0.750
```